DFT (PBE-GGA) results for Lu2TcCl after structural relaxation.

Total magnetization, μB per atom: 0.00
D(E_F), states/eV per atom: 0.47
Uncorrected formation energy, kJ/mol of atoms: -69.5
Electronic total energy, eV per cell: -24.14
Symmetry: P4/mmm (123)

Geometry as POSCAR:
```
Lu2TcCl
1.0
3.362 0.000 0.000
0.000 3.362 0.000
0.000 0.000 7.716
Lu Cl Tc
2 1 1
direct
0.000 0.000 0.793
0.000 0.000 0.207
0.500 0.500 0.500
0.500 0.500 0.000
```